Entry from the Alexandria database: Ca2ZrBr at its PBEsol-relaxed geometry (meta-GGA SCAN).

The structure in extended XYZ format:
```
4
Lattice="-0.3827 2.3857 2.3967 -0.8226 -2.4052 2.2628 9.1268 -0.9039 2.3571" Properties=species:S:1:pos:R:3 pbc="T T T"
Ca 8.7108 -0.8627 2.2497
Ca 1.9264 -0.2602 2.9829
Br 6.0034 -0.6640 4.0358
Zr 4.9711 -0.4923 1.2838
```

Calculated values
The total magnetization is 1.01 μB/f.u. For the distance to the lowest polymorph of the same formula, the calculation gives 0.007 eV/atom. The calculation puts the uncorrected formation energy at -0.21 eV per atom. As for the total DFT energy (no corrections): -17.581 eV/atom.



Entry from the Alexandria database: Ge2BiCl at its PBEsol-relaxed geometry (meta-GGA SCAN).

The structure in extended XYZ format:
```
4
Lattice="-4.2519 2.5879 0.4706 -3.3326 0.0319 -3.7269 -4.3498 -2.4107 0.5153" Properties=species:S:1:pos:R:3 pbc="T T T"
Ge -2.9836 0.0523 -0.6853
Ge -8.9508 0.1568 -2.0558
Bi -5.9672 0.1045 -1.3705
Cl 0.0000 0.0000 0.0000
```

Calculated values
The total magnetization is 0.00 μB/f.u. The calculation puts the uncorrected formation energy at 0.13 eV per atom. As for the total DFT energy (no corrections): -31.051 eV/atom.



Entry from the Alexandria database: GaSb2MoI at its PBEsol-relaxed geometry (meta-GGA SCAN).

The structure in extended XYZ format:
```
5
Lattice="5.1085 0.0000 0.0000 0.0000 5.1085 0.0000 0.0000 0.0000 5.8825" Properties=species:S:1:pos:R:3 pbc="T T T"
I 0.0000 0.0000 2.9413
Sb 0.0000 2.5542 0.0000
Sb 2.5542 0.0000 0.0000
Mo 0.0000 0.0000 0.0000
Ga 2.5542 2.5542 2.9413
```

Calculated values
The total magnetization is 0.93 μB/f.u. The calculation puts the uncorrected formation energy at 0.54 eV per atom. As for the total DFT energy (no corrections): -31.960 eV/atom.



Entry from the Alexandria database: SrCd3 at its PBEsol-relaxed geometry (meta-GGA SCAN).

The structure in extended XYZ format:
```
4
Lattice="4.7152 0.0000 0.0000 0.0000 4.7152 0.0000 0.0000 0.0000 4.7152" Properties=species:S:1:pos:R:3 pbc="T T T"
Sr 0.0000 0.0000 0.0000
Cd 0.0000 2.3576 2.3576
Cd 2.3576 0.0000 2.3576
Cd 2.3576 2.3576 0.0000
```

Calculated values
The total magnetization is 0.00 μB/f.u. As for the total DFT energy (no corrections): -28.577 eV/atom. The formation energy from the elements is -0.1975 eV per atom.



Entry from the Alexandria database: Cr2SiHg at its PBEsol-relaxed geometry (meta-GGA SCAN).

The structure in extended XYZ format:
```
4
Lattice="-1.6448 -0.2657 -2.5109 -1.3248 -3.9915 1.2901 -3.4397 1.8081 2.0618" Properties=species:S:1:pos:R:3 pbc="T T T"
Cr -1.7199 0.9040 1.0309
Cr -0.6624 -1.9958 0.6451
Hg -3.2046 -1.2246 0.4205
Si -0.8224 -0.1328 -1.2555
```

Calculated values
The total magnetization is 7.09 μB/f.u. The calculation puts the uncorrected formation energy at 0.28 eV per atom. As for the total DFT energy (no corrections): -28.460 eV/atom.



Entry from the Alexandria database: Tl2InPt at its PBEsol-relaxed geometry (meta-GGA SCAN).

The structure in extended XYZ format:
```
4
Lattice="-1.1426 2.7095 1.2265 -1.9372 0.9355 -3.8712 -4.1369 -5.1395 3.3615" Properties=species:S:1:pos:R:3 pbc="T T T"
In -0.5713 1.3547 0.6133
Pt -0.9686 0.4677 -1.9356
Tl -3.6286 0.6020 -0.5721
Tl -3.5881 -2.0966 1.2889
```

Calculated values
The total magnetization is 0.00 μB/f.u. For the distance to the lowest polymorph of the same formula, the calculation gives 0.000 eV/atom. As for the total DFT energy (no corrections): -62.198 eV/atom. The formation energy from the elements is -0.1236 eV per atom.